Entry 1:
A relaxed structure of Nd3Gd3Te2Os, computed with PBE. Values from VASP.

Cell and atoms, written as Quantum ESPRESSO input:
```
&SYSTEM
  ibrav = 0, nat = 9, ntyp = 4
/
ATOMIC_SPECIES
Gd 157.25 Gd.upf
Nd 144.24 Nd.upf
Os 190.23 Os.upf
Te 127.60 Te.upf
CELL_PARAMETERS angstrom
8.5784 0.0000 0.0000
-4.2892 7.4291 0.0000
0.0000 0.0000 4.0134
ATOMIC_POSITIONS angstrom
Gd 3.4411 0.0000 0.0000
Gd -1.7205 2.9800 0.0000
Gd 2.5687 4.4490 0.0000
Nd 6.4895 0.0000 2.0067
Nd 1.0444 1.8090 2.0067
Nd -3.2447 5.6201 2.0067
Os 0.0000 0.0000 0.0000
Te 4.2892 2.4764 2.0067
Te 0.0000 4.9527 2.0067
```

Properties
Mass density, g cm⁻³: 8.76
E above lowest polymorph, meV per atom: 85
Total magnetization, μB per formula unit: 0.00



Entry 2:
A relaxed structure of NdGd2Tm3Te2Os, computed with PBE. Values from VASP.

Cell and atoms, written as Quantum ESPRESSO input:
```
&SYSTEM
  ibrav = 0, nat = 9, ntyp = 5
/
ATOMIC_SPECIES
Gd 157.25 Gd.upf
Nd 144.24 Nd.upf
Os 190.23 Os.upf
Te 127.60 Te.upf
Tm 168.93 Tm.upf
CELL_PARAMETERS angstrom
-2.9142 -2.8365 -0.2798
5.2044 -5.6529 3.1011
-4.7795 4.4033 5.1404
ATOMIC_POSITIONS angstrom
Gd 0.5755 -3.6263 1.0731
Gd -3.3236 0.3012 1.8696
Nd -1.2027 -2.1666 4.7958
Os -1.4521 -1.4331 -0.0421
Te 1.9022 -2.3254 3.7611
Te -1.4788 1.0802 4.4517
Tm 0.1010 -0.2970 1.9590
Tm 1.5278 -2.2635 7.0335
Tm -0.7783 0.0593 7.5046
```

Properties
Mass density, g cm⁻³: 9.62
Total magnetization, μB per formula unit: 0.06



Entry 3:
A relaxed structure of Nd2GdP3, computed with PBE. Values from VASP.

Cell and atoms, written as Quantum ESPRESSO input:
```
&SYSTEM
  ibrav = 0, nat = 6, ntyp = 3
/
ATOMIC_SPECIES
Gd 157.25 Gd.upf
Nd 144.24 Nd.upf
P 30.97 P.upf
CELL_PARAMETERS angstrom
-0.2299 -4.1079 -0.3505
3.6630 1.8909 -0.2404
1.1288 -0.9161 9.9966
ATOMIC_POSITIONS angstrom
Gd 0.5644 -0.4580 4.9983
Nd 1.2589 -2.2635 1.3794
Nd 3.3030 -0.8696 8.0264
P 0.0000 0.0000 0.0000
P 2.7483 -0.4195 3.1142
P 1.8136 -2.7136 6.2916
```

Properties
Mass density, g cm⁻³: 6.00
Total magnetization, μB per formula unit: 0.00



Entry 4:
A relaxed structure of Nd2GdTa2P6, computed with PBE. Values from VASP.

Cell and atoms, written as Quantum ESPRESSO input:
```
&SYSTEM
  ibrav = 0, nat = 11, ntyp = 4
/
ATOMIC_SPECIES
Gd 157.25 Gd.upf
Nd 144.24 Nd.upf
P 30.97 P.upf
Ta 180.95 Ta.upf
CELL_PARAMETERS angstrom
-2.3591 2.3591 11.3869
2.3591 -2.3591 11.3869
2.3591 2.3591 -11.3869
ATOMIC_POSITIONS angstrom
Gd 0.0000 0.0000 0.0000
Nd 0.0000 0.0000 3.8083
Nd 0.0000 0.0000 18.9655
P 0.0000 0.0000 6.6903
P 0.0000 0.0000 16.0835
P 0.0000 2.3591 1.7902
P 0.0000 2.3591 9.5966
P 2.3591 0.0000 1.7902
P 2.3591 0.0000 9.5966
Ta 0.0000 0.0000 9.0038
Ta 0.0000 0.0000 13.7700
```

Properties
Mass density, g cm⁻³: 6.51
Total magnetization, μB per formula unit: 0.01



Entry 5:
A relaxed structure of NdGdZr2P2, computed with PBE. Values from VASP.

Cell and atoms, written as Quantum ESPRESSO input:
```
&SYSTEM
  ibrav = 0, nat = 6, ntyp = 4
/
ATOMIC_SPECIES
Gd 157.25 Gd.upf
Nd 144.24 Nd.upf
P 30.97 P.upf
Zr 91.22 Zr.upf
CELL_PARAMETERS angstrom
7.9487 2.7124 0.5825
5.3819 3.0148 5.7293
-5.7941 -5.5437 -2.5639
ATOMIC_POSITIONS angstrom
Gd 9.0161 3.8736 4.2690
Nd 4.2808 1.8391 2.0269
P 1.6885 0.7254 0.7995
P 11.6561 5.0078 5.5190
Zr 1.0872 -1.4114 -0.9860
Zr -0.1962 -1.2602 1.5874
```

Properties
Mass density, g cm⁻³: 6.91
Total magnetization, μB per formula unit: 0.53



Entry 6:
A relaxed structure of NdGdPa, computed with PBE. Values from VASP.

Cell and atoms, written as Quantum ESPRESSO input:
```
&SYSTEM
  ibrav = 0, nat = 3, ntyp = 3
/
ATOMIC_SPECIES
Gd 157.25 Gd.upf
Nd 144.24 Nd.upf
Pa 231.04 Pa.upf
CELL_PARAMETERS angstrom
0.0000 3.6879 3.6879
3.6879 0.0000 3.6879
3.6879 3.6879 0.0000
ATOMIC_POSITIONS angstrom
Gd 0.0000 0.0000 0.0000
Nd 1.8440 1.8440 1.8440
Pa 3.6879 3.6879 3.6879
```

Properties
Mass density, g cm⁻³: 8.81
E above lowest polymorph, meV per atom: 0
Energy relative to the elements, eV/f.u.: 3.3
Total magnetization, μB per formula unit: 1.91



Number 1: electronic total energy -5.740 eV/atom. Number 2: electronic total energy -5.761 eV/atom. Number 3: electronic total energy -6.628 eV/atom. Number 4: electronic total energy -7.282 eV/atom. Number 5: electronic total energy -7.256 eV/atom. Number 6: electronic total energy -5.217 eV/atom.